1.
Compound: KFeBr
Source: Alexandria via LeMat-Bulk
Functional: GGA-PBE
Structure: optimized geometry

Cell lengths 5.3881, 5.3881, 5.3881 Å; angles 60.00, 60.00, 60.00 degrees
With the nearest neighbours (Å) after each atom.
Fractional positions:
Fe 0.0000 0.0000 0.0000  4 Br 3.30
Br 0.7500 0.7500 0.7500  4 Fe 3.30, 4 K 3.30
K 0.5000 0.5000 0.5000  4 Br 3.30

Output
E above lowest polymorph: 196.9 meV per atom
space group: F-43m
formation energy (no corrections): 0.41 eV per atom

2.
Compound: YTc2P
Source: Alexandria via LeMat-Bulk
Functional: GGA-PBE
Structure: optimized geometry

Cell lengths 3.8135, 3.8135, 4.6758 Å; angles 90.00, 90.00, 90.00 degrees
With the nearest neighbours (Å) after each atom.
Fractional positions:
Tc 0.5000 0.0000 0.0000  4 Tc 2.70, 4 Y 3.02, 4 P 3.02
Tc 0.0000 0.5000 0.0000  4 Tc 2.70, 4 Y 3.02, 4 P 3.02
Y 0.5000 0.5000 0.5000  4 P 2.70, 8 Tc 3.02
P 0.0000 0.0000 0.5000  4 Y 2.70, 8 Tc 3.02

Output
energy of formation: -0.01 eV per atom
space group: P4/mmm

3.
Compound: Sm2In3Ga
Source: Alexandria via LeMat-Bulk
Functional: GGA-PBE
Structure: optimized geometry

Cell lengths 3.6587, 4.8905, 8.4347 Å; angles 90.00, 90.00, 90.00 degrees
With the nearest neighbours (Å) after each atom.
Fractional positions:
Sm 0.0000 0.5000 0.0109  2 Ga 3.26, 10 In 3.35-3.50
Sm 0.0000 0.0000 0.4923  8 In 3.25-3.41, 4 Ga 3.34
Ga 0.5000 0.5000 0.3312  3 In 2.75-2.78
In 0.5000 0.5000 0.6575  1 Ga 2.75, 2 In 2.86
In 0.5000 0.0000 0.1741  2 Ga 2.78, 1 In 2.87
In 0.5000 0.0000 0.8340  3 In 2.86-2.87

Output
energy of formation: -0.47 eV per atom
space group: Pmm2

4.
Compound: Ce8PdPt5
Source: Alexandria via LeMat-Bulk
Functional: GGA-PBE
Structure: optimized geometry

Cell lengths 7.6793, 7.6793, 7.6793 Å; angles 109.47, 109.48, 109.47 degrees
With the nearest neighbours (Å) after each atom.
Fractional positions:
Pt 0.7501 0.6211 0.6252  4 Ce 2.86-2.88
Pt 0.8711 0.8751 0.2499  4 Ce 2.86-2.88
Pt 0.0040 0.3789 0.1289  4 Ce 2.86-2.88
Pt 0.3748 0.1249 0.9960  4 Ce 2.86-2.88
Pt 0.5000 0.0000 0.5000  4 Ce 2.87
Ce 0.6283 0.8749 0.8736  2 Pt 2.87, 1 Pd 2.90
Ce 0.1241 0.7549 0.4990  3 Pt 2.86-2.88
Ce 0.7441 0.2451 0.3692  3 Pt 2.86-2.88
Ce 0.9987 0.1251 0.7533  2 Pt 2.87, 1 Pd 2.90
Ce 0.6308 0.3749 0.8759  3 Pt 2.86-2.88
Ce 0.5010 0.6251 0.2559  3 Pt 2.86-2.88
Ce 0.2467 0.2453 0.3717  2 Pt 2.87, 1 Pd 2.90
Ce 0.1264 0.7547 0.0013  2 Pt 2.87, 1 Pd 2.90
Pd 0.2500 0.5000 0.7500  4 Ce 2.90

Output
energy of formation: -0.86 eV per atom
space group: I-4

5.
Compound: NpSc3
Source: Alexandria via LeMat-Bulk
Functional: GGA-PBE
Structure: optimized geometry

Cell lengths 3.0910, 5.2911, 5.8391 Å; angles 90.00, 90.00, 90.00 degrees
With the nearest neighbours (Å) after each atom.
Fractional positions:
Np 0.0000 0.0000 0.0166  2 Np 3.09, 10 Sc 3.17-3.31
Sc 0.0000 0.5000 0.3152  10 Sc 3.09-3.32, 2 Np 3.17
Sc 0.5000 0.0000 0.5173  8 Sc 3.09-3.28, 4 Np 3.30-3.31
Sc 0.5000 0.5000 0.8174  8 Sc 3.09-3.32, 4 Np 3.28

Output
energy of formation: 0.23 eV per atom
E above lowest polymorph: 9.9 meV per atom
space group: Pmm2

6.
Compound: Ho3Er2ScS6
Source: Alexandria via LeMat-Bulk
Functional: GGA-PBE
Structure: optimized geometry

Cell lengths 3.8416, 7.7217, 8.5948 Å; angles 103.13, 102.91, 90.00 degrees
With the nearest neighbours (Å) after each atom.
Fractional positions:
Er 0.1658 0.3317 0.3316  6 S 2.71-2.72
Er 0.8342 0.6683 0.6684  6 S 2.71-2.72
S 0.6672 0.5821 0.3344  3 Er 2.72, 3 Ho 2.72-2.74
S 0.3373 0.9177 0.6746  1 Sc 2.65, 2 Er 2.71, 3 Ho 2.73-2.76
S 0.0005 0.7592 0.0010  2 Sc 2.67, 1 Er 2.71, 3 Ho 2.73-2.77
S 0.3328 0.4179 0.6656  3 Er 2.72, 3 Ho 2.72-2.74
S 0.6627 0.0823 0.3254  1 Sc 2.65, 2 Er 2.71, 3 Ho 2.73-2.76
S 0.9995 0.2408 0.9990  2 Sc 2.67, 1 Er 2.71, 3 Ho 2.73-2.77
Ho 0.8323 0.1655 0.6645  6 S 2.73-2.76
Ho 0.5000 0.5000 0.0000  6 S 2.72-2.77
Ho 0.1677 0.8345 0.3355  6 S 2.73-2.76
Sc 0.5000 0.0000 0.0000  6 S 2.65-2.67

Output
space group: C2/m
formation energy (no corrections): -1.94 eV per atom

7.
Compound: PmPaZnAu
Source: Alexandria via LeMat-Bulk
Functional: GGA-PBE
Structure: optimized geometry

Cell lengths 5.1407, 5.1407, 5.1407 Å; angles 60.00, 60.00, 60.00 degrees
With the nearest neighbours (Å) after each atom.
Fractional positions:
Zn 0.0000 0.0000 0.0000  4 Pa 3.15, 4 Pm 3.15
Pa 0.7500 0.7500 0.7500  4 Zn 3.15, 4 Au 3.15
Au 0.5000 0.5000 0.5000  4 Pm 3.15, 4 Pa 3.15
Pm 0.2500 0.2500 0.2500  4 Zn 3.15, 4 Au 3.15

Output
energy of formation: -0.16 eV per atom
space group: F-43m

8.
Compound: LaCuTc2
Source: Alexandria via LeMat-Bulk
Functional: GGA-PBE
Structure: optimized geometry

Cell lengths 4.5702, 4.5702, 4.5702 Å; angles 60.00, 60.00, 60.00 degrees
With the nearest neighbours (Å) after each atom.
Fractional positions:
La 0.5000 0.5000 0.5000  8 Tc 2.80
Cu 0.0000 0.0000 0.0000  8 Tc 2.80
Tc 0.2500 0.2500 0.2500  4 La 2.80, 4 Cu 2.80
Tc 0.7500 0.7500 0.7500  4 La 2.80, 4 Cu 2.80

Output
energy of formation: 0.63 eV per atom
E above lowest polymorph: 576.6 meV per atom
space group: Fm-3m

9.
Compound: Pr3GaNi2
Source: Alexandria via LeMat-Bulk
Functional: GGA-PBE
Structure: optimized geometry

Cell lengths 5.7711, 11.6553, 9.0606 Å; angles 90.00, 106.74, 90.00 degrees
With the nearest neighbours (Å) after each atom.
Fractional positions:
Ni 0.7950 0.3690 0.6162  1 Ga 2.47, 1 Ni 2.55
Ni 0.1102 0.5060 0.7789  1 Ni 2.55, 1 Ga 2.59
Ni 0.7050 0.8690 0.8838  1 Ga 2.47, 1 Ni 2.55
Ni 0.2050 0.6310 0.3838  1 Ga 2.47, 1 Ni 2.55
Ni 0.8898 0.4940 0.2211  1 Ni 2.55, 1 Ga 2.59
Ni 0.2950 0.1310 0.1162  1 Ga 2.47, 1 Ni 2.55
Ni 0.6102 0.9940 0.2789  1 Ni 2.55, 1 Ga 2.59
Ni 0.3898 0.0060 0.7211  1 Ni 2.55, 1 Ga 2.59
Ga 0.9133 0.6932 0.8391  2 Ni 2.47-2.59
Ga 0.5867 0.1932 0.6609  2 Ni 2.47-2.59
Ga 0.0867 0.3068 0.1609  2 Ni 2.47-2.59
Ga 0.4133 0.8068 0.3391  2 Ni 2.47-2.59
Pr 0.6965 0.4470 0.8935  3 Ni 2.88-2.95
Pr 0.2580 0.9035 0.9938  5 Ni 2.86-3.08, 1 Ga 3.20
Pr 0.6588 0.2668 0.3187  2 Ni 2.84
Pr 0.3412 0.7332 0.6813  2 Ni 2.84
Pr 0.1965 0.0530 0.3935  3 Ni 2.88-2.95
Pr 0.7420 0.0965 0.0062  5 Ni 2.86-3.08, 1 Ga 3.20
Pr 0.3035 0.5530 0.1065  3 Ni 2.88-2.95
Pr 0.8412 0.7668 0.1813  2 Ni 2.84
Pr 0.8035 0.9470 0.6065  3 Ni 2.88-2.95
Pr 0.1588 0.2332 0.8187  2 Ni 2.84
Pr 0.7580 0.5965 0.4938  5 Ni 2.86-3.08, 1 Ga 3.20
Pr 0.2420 0.4035 0.5062  5 Ni 2.86-3.08, 1 Ga 3.20

Output
energy of formation: -0.34 eV per atom
E above lowest polymorph: 0.0 meV per atom
space group: P2_1/c

10.
Compound: In2TcIr
Source: Alexandria via LeMat-Bulk
Functional: GGA-PBE
Structure: optimized geometry

Cell lengths 5.4518, 5.4518, 4.9360 Å; angles 69.66, 69.66, 31.23 degrees
With the nearest neighbours (Å) after each atom.
Fractional positions:
Ir 0.4765 0.4765 0.4418  2 Tc 2.68, 7 In 2.83-2.98, 2 Ir 2.94
In 0.2305 0.2305 0.3237  4 Tc 2.83-2.97, 3 Ir 2.85-2.91, 3 In 2.94-3.00
In 0.0194 0.0194 0.9267  4 Ir 2.83-2.98, 3 Tc 2.85-2.91, 3 In 2.94-3.00
Tc 0.7736 0.7736 0.8078  2 Ir 2.68, 7 In 2.83-2.97, 2 Tc 2.94

Output
energy of formation: 0.10 eV per atom
E above lowest polymorph: 73.8 meV per atom
space group: Cm

11.
Compound: Mn2ZnCo
Source: Alexandria via LeMat-Bulk
Functional: GGA-PBE
Structure: optimized geometry

Cell lengths 4.4744, 4.4744, 4.4954 Å; angles 81.00, 81.00, 33.65 degrees
With the nearest neighbours (Å) after each atom.
Fractional positions:
Zn 0.2500 0.2500 0.2500  6 Mn 2.58-2.61, 2 Zn 2.59, 4 Co 2.59
Co 0.7500 0.7500 0.7500  6 Mn 2.58, 2 Co 2.59, 4 Zn 2.59
Mn 0.4989 0.4989 0.5032  6 Mn 2.57-2.62, 3 Zn 2.58-2.61, 3 Co 2.58
Mn 0.0011 0.0011 0.9968  6 Mn 2.57-2.62, 3 Zn 2.58-2.61, 3 Co 2.58

Output
energy of formation: 0.17 eV per atom
space group: C2/m

12.
Compound: MoWSe2
Source: Alexandria via LeMat-Bulk
Functional: GGA-PBE
Structure: optimized geometry

Cell lengths 4.8838, 4.8838, 4.8838 Å; angles 130.10, 130.10, 73.25 degrees
With the nearest neighbours (Å) after each atom.
Fractional positions:
Se 0.2500 0.7500 0.5000  4 Se 2.84, 4 W 2.84, 4 Mo 2.91
Se 0.0000 0.0000 0.0000  4 Mo 2.84, 4 Se 2.84, 4 W 2.91
W 0.5000 0.5000 0.0000  8 Se 2.84-2.91, 4 Mo 2.84
Mo 0.7500 0.2500 0.5000  4 W 2.84, 8 Se 2.84-2.91

Output
E above lowest polymorph: 752.3 meV per atom
space group: I-4m2
formation energy (no corrections): 0.60 eV per atom

Total magnetic moment list, top to bottom, in Bohr magnetons per cell: 4.01 0.00 0.00 6.30 4.63 0.00 1.80 0.00 0.00 0.00 6.38 0.00